# 1
Material: AlIrOs2
Method: DFT, PBE
State: optimized geometry

Computed properties:
Space-group type: No. 38
Formation energy: -0.12 eV per atom

a = 4.096 Å, b = 5.274 Å, c = 5.274 Å
α = 30.25°, β = 90.00°, γ = 90.00°
Element x y z (fractional)
Al: 0.000 0.000 0.000
Ir: 0.500 0.591 0.591
Os: 0.000 0.252 0.252
Os: 0.500 0.851 0.851


# 2
Material: AlIr2Os
Method: DFT, PBE
State: optimized geometry

Computed properties:
Space-group type: No. 25
Formation energy: -0.20 eV per atom

a = 2.777 Å, b = 3.797 Å, c = 5.477 Å
α = 90.00°, β = 90.00°, γ = 90.00°
Element x y z (fractional)
Al: 0.000 0.000 0.000
Ir: 0.000 0.000 0.507
Ir: 0.500 0.500 0.217
Os: 0.500 0.500 0.722


# 3
Material: AlIrOs2
Method: DFT, PBE
State: optimized geometry

Computed properties:
Space-group type: No. 10
Formation energy: 0.00 eV per atom

a = 2.745 Å, b = 4.105 Å, c = 5.204 Å
α = 90.00°, β = 102.17°, γ = 90.00°
Element x y z (fractional)
Al: 0.000 0.000 0.000
Ir: 0.000 0.000 0.500
Os: 0.385 0.500 0.239
Os: 0.615 0.500 0.761


# 4
Material: AlIrOs2
Method: DFT, PBE
State: optimized geometry

Computed properties:
Space-group type: No. 47
Formation energy: 0.00 eV per atom

a = 2.768 Å, b = 3.865 Å, c = 5.362 Å
α = 90.00°, β = 90.00°, γ = 90.00°
Element x y z (fractional)
Al: 0.000 0.000 0.000
Ir: 0.000 0.000 0.500
Os: 0.500 0.500 0.247
Os: 0.500 0.500 0.753


Which value of formation energy does entry 2 give? -0.20 eV per atom


formation energy of number 3 (AlIrOs2)? 0.00 eV per atom


What is the formula in the fourth record? AlIrOs2


Copy entry 3 word for word.
Material: AlIrOs2
Method: DFT, PBE
State: optimized geometry

Computed properties:
Space-group type: No. 10
Formation energy: 0.00 eV per atom

a = 2.745 Å, b = 4.105 Å, c = 5.204 Å
α = 90.00°, β = 102.17°, γ = 90.00°
Element x y z (fractional)
Al: 0.000 0.000 0.000
Ir: 0.000 0.000 0.500
Os: 0.385 0.500 0.239
Os: 0.615 0.500 0.761